KTi2MoF after structural relaxation. Source: the Alexandria database, functional PBE with a Hubbard U.

POSCAR file:
```
KTi2MoF
1.0
-0.1576 -4.4109 0.1174
5.2589 -0.1096 2.9398
-2.1498 0.1793 3.8524
Mo Ti K F
1 2 1 1
Cartesian
2.6294 -0.0548 1.4699
-1.0749 0.0897 1.9262
-0.0788 -2.2055 0.0587
1.4758 -2.1706 3.4548
0.0000 0.0000 0.0000
```

Calculated values
As for the crystal system: tetragonal. The size of the total moment is 1.67 μB per atom. Its calculated total energy is -4.6183 eV per atom. The space group is No. 123.


KTlMoF6 after structural relaxation. Source: the Alexandria database, functional PBE with a Hubbard U.

POSCAR file:
```
KTlMoF6
1.0
-3.7404 -3.4084 -4.0803
-1.2729 -0.0353 6.3745
-5.9811 7.9410 -1.1503
F Mo Tl K
12 2 2 2
Cartesian
-4.1511 1.4672 0.0355
-6.2360 3.8741 3.7766
-8.5337 4.8285 2.4934
-2.4607 -0.3313 -1.3495
-4.0445 -1.2024 0.8716
-6.3023 6.5713 2.9220
-6.3723 -0.2753 -0.4443
-4.6222 4.7726 1.5883
-6.8434 3.0300 1.1084
-6.9500 5.6997 0.2723
-4.6922 -2.0741 -1.7781
-4.7585 0.6232 -2.6327
-6.5813 4.7960 2.0268
-4.4132 -0.2988 -0.8829
0.0000 0.0000 0.0000
-2.9906 3.9705 -0.5752
-7.4038 3.6717 -1.4581
-3.5907 0.8256 2.6020
```

Calculated values
As for the crystal system: trigonal. The size of the total moment is 0.22 μB per atom. Its calculated total energy is -4.9378 eV per atom. The space group is No. 163.


K2Tl2MoF6 after structural relaxation. Source: the Alexandria database, functional PBE with a Hubbard U.

POSCAR file:
```
K2Tl2MoF6
1.0
-0.5514 4.3864 -4.7098
-3.8620 -5.1779 0.0337
-3.0941 3.5131 4.9242
Mo F K Tl
1 6 2 2
Cartesian
-1.5470 1.7566 2.4621
-1.6651 0.7431 0.3362
-2.4445 3.6733 1.8084
-5.0629 -0.9516 -1.5602
-5.8423 1.9786 -0.0881
-4.0845 1.8750 -2.9621
-3.4229 0.8467 3.2102
-3.2440 2.8336 -0.6064
-4.2635 -0.1119 0.8545
-3.3043 -3.5668 -0.7653
-1.1091 2.7753 -3.9107
```

Calculated values
As for the crystal system: monoclinic. The size of the total moment is 0.18 μB per atom. Its calculated total energy is -4.3948 eV per atom. The space group is No. 12.


K2TlMoF6 after structural relaxation. Source: the Alexandria database, functional PBE with a Hubbard U.

POSCAR file:
```
K2TlMoF6
1.0
6.3723 0.0000 0.0198
0.0000 6.6768 0.0000
0.0846 0.0000 9.1049
F Mo Tl K
12 2 2 4
Cartesian
5.4496 5.0444 8.3798
4.2358 1.7060 5.3073
5.6242 3.8037 1.9382
2.2211 4.9708 3.8174
4.7299 2.2097 8.6836
1.7271 4.4671 0.4411
0.8328 2.8731 7.1865
1.0073 1.6324 0.7449
2.4803 6.2115 6.4808
1.5014 1.1287 4.1212
3.9766 0.4653 2.6439
4.9555 5.5481 5.0035
3.2285 0.0000 4.5623
0.0000 3.3384 0.0000
0.0423 3.3384 4.5525
3.1862 0.0000 0.0099
6.3264 0.3428 6.7837
3.3590 3.6812 6.9033
0.1305 6.3340 2.3410
3.0980 2.9956 2.2214
```

Calculated values
As for the crystal system: monoclinic. The size of the total moment is 0.30 μB per atom. The calculation puts the energy relative to the lowest polymorph listed for this composition at 0.00 eV per formula unit. The space group is No. 14.


K2TlMoF6 after structural relaxation. Source: the Alexandria database, functional PBE with a Hubbard U.

POSCAR file:
```
K2TlMoF6
1.0
0.0000 4.7104 4.7104
4.7104 0.0000 4.7104
4.7104 4.7104 0.0000
K F Tl Mo
2 6 1 1
Cartesian
2.3552 2.3552 2.3552
7.0656 7.0656 7.0656
7.3259 4.7104 4.7104
4.7104 4.7104 2.0950
2.0950 4.7104 4.7104
4.7104 2.0950 4.7104
4.7104 7.3259 4.7104
4.7104 4.7104 7.3259
4.7104 4.7104 4.7104
0.0000 0.0000 0.0000
```

Calculated values
As for the crystal system: cubic. The size of the total moment is 0.30 μB per atom. The calculation puts the energy relative to the lowest polymorph listed for this composition at 0.71 eV per formula unit. The space group is No. 225.


KTmMoF6 after structural relaxation. Source: the Alexandria database, functional PBE with a Hubbard U.

POSCAR file:
```
KTmMoF6
1.0
5.8450 0.0000 0.0000
-2.9225 5.0619 0.0000
0.0000 0.0000 11.2062
F K Mo Tm
12 2 2 2
Cartesian
3.9383 3.2110 9.5602
3.7341 0.0457 9.5602
0.8116 5.0162 3.9571
-1.8275 3.2567 3.9571
1.0158 1.8509 3.9571
1.8275 3.2567 1.6460
1.0950 1.8052 9.5602
-0.8116 5.0162 1.6460
1.9067 3.2110 7.2491
2.1108 0.0457 7.2491
-1.0158 1.8509 1.6460
4.7500 1.8052 7.2491
0.0000 0.0000 0.0000
0.0000 0.0000 5.6031
2.9225 1.6873 2.8016
0.0000 3.3746 8.4047
2.9225 1.6873 8.4047
0.0000 3.3746 2.8016
```

Calculated values
As for the crystal system: trigonal. The size of the total moment is 0.22 μB per atom. Its calculated total energy is -5.6019 eV per atom. The space group is No. 163.


Copy entry 3 word for word.
K2Tl2MoF6 after structural relaxation. Source: the Alexandria database, functional PBE with a Hubbard U.

POSCAR file:
```
K2Tl2MoF6
1.0
-0.5514 4.3864 -4.7098
-3.8620 -5.1779 0.0337
-3.0941 3.5131 4.9242
Mo F K Tl
1 6 2 2
Cartesian
-1.5470 1.7566 2.4621
-1.6651 0.7431 0.3362
-2.4445 3.6733 1.8084
-5.0629 -0.9516 -1.5602
-5.8423 1.9786 -0.0881
-4.0845 1.8750 -2.9621
-3.4229 0.8467 3.2102
-3.2440 2.8336 -0.6064
-4.2635 -0.1119 0.8545
-3.3043 -3.5668 -0.7653
-1.1091 2.7753 -3.9107
```

Calculated values
As for the crystal system: monoclinic. The size of the total moment is 0.18 μB per atom. Its calculated total energy is -4.3948 eV per atom. The space group is No. 12.